DFT (PBE) results for a geometry-optimized CeTmN structure.

Properties
calculated total energy: -6.534 eV per atom
relative energy among the computed polymorphs: 2.07 eV per formula unit
space-group type: F-43m, No. 216
E_form (uncorrected): -291 meV/atom
Fermi-level density of states: 23.1 states/eV per cell
calculated volume: 217.75 Å³/cell

Unit cell a=6.016 b=6.016 c=6.016 alpha=90.00 beta=90.00 gamma=90.00
Positions (direct):
Ce  0.000  0.000  0.000
Ce  0.000  0.500  0.500
Ce  0.500  0.000  0.500
Ce  0.500  0.500  0.000
Tm  0.000  0.000  0.500
Tm  0.000  0.500  0.000
Tm  0.500  0.000  0.000
Tm  0.500  0.500  0.500
N  0.250  0.250  0.250
N  0.250  0.750  0.750
N  0.750  0.250  0.750
N  0.750  0.750  0.250

---

DFT (PBE) results for a geometry-optimized HoSc2Ni9 structure.

Properties
calculated total energy: -6.227 eV per atom
space-group type: R-3m, No. 166
energy of formation: -0.454 eV/atom
Fermi-level density of states: 16.4 states/eV per cell
calculated volume: 162.96 Å³/cell

Unit cell a=8.414 b=8.414 c=8.414 alpha=33.65 beta=33.65 gamma=33.65
Positions (direct):
Ho  0.000  0.000  0.000
Sc  0.141  0.141  0.141
Sc  0.859  0.859  0.859
Ni  0.082  0.586  0.586
Ni  0.333  0.333  0.333
Ni  0.414  0.414  0.918
Ni  0.414  0.918  0.414
Ni  0.500  0.500  0.500
Ni  0.586  0.082  0.586
Ni  0.586  0.586  0.082
Ni  0.667  0.667  0.667
Ni  0.918  0.414  0.414

---

DFT (PBE) results for a geometry-optimized Cs2KHgPt structure.

Properties
calculated total energy: -1.869 eV per atom
relative energy among the computed polymorphs: 0.00 eV per formula unit
space-group type: P4/mmm, No. 123
energy of formation: -0.039 eV/atom
Fermi-level density of states: 3.1 states/eV per cell
calculated volume: 251.82 Å³/cell

Unit cell a=6.834 b=6.834 c=5.393 alpha=90.00 beta=90.00 gamma=90.00
Positions (direct):
Cs  0.000  0.500  0.000
Cs  0.500  0.000  0.000
K  0.000  0.000  0.500
Hg  0.500  0.500  0.500
Pt  0.500  0.500  0.000

---

DFT (PBE) results for a geometry-optimized NaUBrCl4 structure.

Properties
calculated total energy: -4.759 eV per atom
space-group type: C2/m, No. 12
E_form (uncorrected): -1663 meV/atom
Fermi-level density of states: 9.5 states/eV per cell
calculated volume: 532.25 Å³/cell

Unit cell a=7.619 b=7.619 c=10.502 alpha=109.24 beta=109.24 gamma=73.26
Positions (direct):
Na  0.117  0.117  0.385
Na  0.883  0.883  0.615
U  0.366  0.366  0.789
U  0.634  0.634  0.211
Br  0.377  0.377  0.068
Br  0.623  0.623  0.932
Cl  0.087  0.655  0.796
Cl  0.130  0.130  0.668
Cl  0.345  0.913  0.204
Cl  0.368  0.368  0.545
Cl  0.632  0.632  0.455
Cl  0.655  0.087  0.796
Cl  0.870  0.870  0.332
Cl  0.913  0.345  0.204

---

DFT (PBE) results for a geometry-optimized CaMgPt2 structure.

Properties
calculated total energy: -4.424 eV per atom
space-group type: I-42d, No. 122
energy of formation: -0.505 eV/atom
Fermi-level density of states: 3.6 states/eV per cell
calculated volume: 320.07 Å³/cell

Unit cell a=7.415 b=7.415 c=5.822 alpha=90.00 beta=90.00 gamma=90.00
Positions (direct):
Ca  0.000  0.000  0.000
Ca  0.000  0.500  0.250
Ca  0.500  0.000  0.750
Ca  0.500  0.500  0.500
Mg  0.000  0.000  0.500
Mg  0.000  0.500  0.750
Mg  0.500  0.000  0.250
Mg  0.500  0.500  0.000
Pt  0.226  0.250  0.625
Pt  0.250  0.726  0.875
Pt  0.250  0.774  0.375
Pt  0.274  0.250  0.125
Pt  0.726  0.750  0.125
Pt  0.750  0.226  0.375
Pt  0.750  0.274  0.875
Pt  0.774  0.750  0.625

---

DFT (PBE) results for a geometry-optimized AcLa3Er3 structure.

Properties
calculated total energy: -4.607 eV per atom
relative energy among the computed polymorphs: 0.00 eV per formula unit
space-group type: P6_3/m, No. 176
energy of formation: 0.047 eV/atom
Fermi-level density of states: 25.2 states/eV per cell
calculated volume: 498.71 Å³/cell

Unit cell a=9.873 b=9.873 c=5.908 alpha=90.00 beta=90.00 gamma=120.00
Positions (direct):
Ac  0.333  0.667  0.250
Ac  0.667  0.333  0.750
La  0.093  0.629  0.750
La  0.371  0.464  0.750
La  0.464  0.093  0.250
La  0.536  0.907  0.750
La  0.629  0.536  0.250
La  0.907  0.371  0.250
Er  0.042  0.817  0.250
Er  0.183  0.226  0.250
Er  0.226  0.042  0.750
Er  0.774  0.958  0.250
Er  0.817  0.774  0.750
Er  0.958  0.183  0.750